Entry 1:
The following is a PBE calculation of a geometry-optimized Na2TlHg2Bi2 structure, from Alexandria.

Values from the calculation:
Energy relative to the elements, eV per atom: -0.157
E_tot, eV/atom: -2.067

Lattice parameters (Å, degrees): 5.2473 5.2473 26.1389 90.00 90.00 120.00
Space group R-3m (No. 166, hexagonal axes)
Inequivalent atoms, fractional coordinates:
1 Na 0.0000 0.0000 0.1345 (multiplicity 6)
2 Tl 0.0000 0.0000 0.0000 (multiplicity 3)
3 Hg 0.0000 0.0000 0.4284 (multiplicity 6)
4 Bi 0.0000 0.0000 0.2633 (multiplicity 6)



Entry 2:
The following is a PBE calculation of a geometry-optimized DyMgAgBi structure, from Alexandria.

Values from the calculation:
Energy relative to the elements, eV per atom: -0.257
E_tot, eV/atom: -3.489

Lattice parameters (Å, degrees): 7.374 7.374 7.374 90.00 90.00 90.00
Space group F-43m (No. 216)
Inequivalent atoms, fractional coordinates:
1 Dy 0.000 0.000 0.000 (multiplicity 4)
2 Mg 0.000 0.000 0.500 (multiplicity 4)
3 Ag 0.250 0.250 0.250 (multiplicity 4)
4 Bi 0.250 0.250 0.750 (multiplicity 4)



Entry 3:
The following is a PBE calculation of a geometry-optimized Ca3CeTh2Bi6 structure, from Alexandria.

Values from the calculation:
Energy relative to the elements, eV per atom: -0.757
E_tot, eV/atom: -4.929

Lattice parameters (Å, degrees): 8.038 13.920 7.930 90.00 109.74 90.00
Space group C2/m (No. 12)
Inequivalent atoms, fractional coordinates:
1 Ca 0.000 0.000 0.000 (multiplicity 2)
2 Ca 0.000 0.332 0.000 (multiplicity 4)
3 Ce 0.000 0.500 0.500 (multiplicity 2)
4 Th 0.000 0.166 0.500 (multiplicity 4)
5 Bi 0.246 0.335 0.743 (multiplicity 8)
6 Bi 0.249 0.500 0.256 (multiplicity 4)



Entry 4:
The following is a PBE calculation of a geometry-optimized Th6HgC3 structure, from Alexandria.

Values from the calculation:
Energy relative to the elements, eV per atom: -0.260
E_tot, eV/atom: -7.509

Lattice parameters (Å, degrees): 11.657 3.669 11.778 90.00 107.53 90.00
Space group P2_1/m (No. 11)
Inequivalent atoms, fractional coordinates:
1 Th 0.042 0.250 0.378 (multiplicity 2)
2 Th 0.159 0.750 0.144 (multiplicity 2)
3 Th 0.261 0.250 0.671 (multiplicity 2)
4 Th 0.331 0.750 0.445 (multiplicity 2)
5 Th 0.361 0.750 0.956 (multiplicity 2)
6 Th 0.445 0.250 0.235 (multiplicity 2)
7 Hg 0.116 0.250 0.876 (multiplicity 2)
8 C 0.145 0.750 0.526 (multiplicity 2)
9 C 0.235 0.250 0.290 (multiplicity 2)
10 C 0.452 0.250 0.859 (multiplicity 2)



Entry 5:
The following is a PBE calculation of a geometry-optimized NpGeAu structure, from Alexandria.

Values from the calculation:
Energy relative to the elements, eV per atom: 0.074
E_tot, eV/atom: -6.871

Lattice parameters (Å, degrees): 4.5547 4.5547 21.2643 90.00 90.00 120.00
Space group R-3m (No. 166, hexagonal axes)
Inequivalent atoms, fractional coordinates:
1 Np 0.0000 0.0000 0.1483 (multiplicity 6)
2 Ge 0.0000 0.0000 0.4186 (multiplicity 6)
3 Au 0.0000 0.0000 0.2943 (multiplicity 6)



Entry 6:
The following is a PBE calculation of a geometry-optimized LaZn2GaIr structure, from Alexandria.

Values from the calculation:
Energy relative to the elements, eV per atom: -0.398
Polymorph energy (0 for the lowest one), eV/atom: 0.027
E_tot, eV/atom: -4.271

Lattice parameters (Å, degrees): 4.823 4.823 4.739 90.00 90.00 90.00
Space group P4/mmm (No. 123)
Inequivalent atoms, fractional coordinates:
1 La 0.000 0.000 0.000 (multiplicity 1)
2 Zn 0.000 0.500 0.500 (multiplicity 2)
3 Ga 0.500 0.500 0.000 (multiplicity 1)
4 Ir 0.500 0.500 0.500 (multiplicity 1)



Entry 7:
The following is a PBE calculation of a geometry-optimized LiCu2S3O12 structure, from Alexandria.

Values from the calculation:
E_tot, eV/atom: -5.708

Lattice parameters (Å, degrees): 8.6075 8.6075 20.9173 90.00 90.00 120.00
Space group R-3c (No. 167, hexagonal axes)
Inequivalent atoms, fractional coordinates:
1 Li 0.0000 0.0000 0.0000 (multiplicity 6)
2 Cu 0.0000 0.0000 0.1449 (multiplicity 12)
3 S 0.0000 0.2981 0.2500 (multiplicity 18)
4 O 0.0040 0.2071 0.3091 (multiplicity 36)
5 O 0.0176 0.1869 0.9223 (multiplicity 36)



Entry 8:
The following is a PBE calculation of a geometry-optimized ErSi3Tc5 structure, from Alexandria.

Values from the calculation:
E_tot, eV/atom: -8.405

Lattice parameters (Å, degrees): 4.255 12.206 11.288 90.00 90.00 90.00
Space group Cmcm (No. 63)
Inequivalent atoms, fractional coordinates:
1 Er 0.000 0.151 0.250 (multiplicity 4)
2 Si 0.000 0.151 0.750 (multiplicity 4)
3 Si 0.000 0.405 0.576 (multiplicity 8)
4 Tc 0.000 0.000 0.000 (multiplicity 4)
5 Tc 0.000 0.207 0.539 (multiplicity 8)
6 Tc 0.000 0.407 0.146 (multiplicity 8)



> Among the records above, which one has the lowest E_tot?

ErSi3Tc5



> Which of these has the lowest E_tot?

ErSi3Tc5



> The highest E_tot belongs to which entry?

Na2TlHg2Bi2



> E_tot of number 8 (ErSi3Tc5)?

-8.405 eV/atom